10
Lattice="-2.155 0.465 4.931 -0.823 -6.083 0.214 5.236 2.465 2.056" Properties=species:S:1:pos:R:3 comment="LiPmPd3 (GGA-PBE, optimized geometry)" m_tot_mub_per_fu=0.00 formation_energy_mev_per_atom=-585.5 polymorph_energy_ev_per_atom=0.0000 pbc="T T T"
Pd -0.248 -4.396 1.785
Pd 2.101 -3.290 2.708
Pd 2.506 1.243 5.416
Pd 0.157 0.137 4.493
Pd 2.137 -1.486 5.512
Pd 0.121 -1.667 1.689
Li 0.000 0.000 0.000
Li -1.078 0.233 2.465
Pm 2.678 -0.268 2.675
Pm -0.419 -2.885 4.526

---

10
Lattice="4.348 0.000 0.000 2.174 5.250 -0.168 2.174 0.514 9.454" Properties=species:S:1:pos:R:3 comment="Pm2GaCu2 (GGA-PBE, optimized geometry)" m_tot_mub_per_fu=0.00 formation_energy_mev_per_atom=-333.8 polymorph_energy_ev_per_atom=0.0113 pbc="T T T"
Pm 4.348 3.840 3.108
Pm 6.521 4.200 8.294
Pm 4.348 1.924 6.177
Pm 2.174 1.564 0.992
Cu 2.174 4.643 0.929
Cu 2.174 1.702 4.086
Cu 6.521 1.121 8.356
Cu 6.521 4.062 5.200
Ga 4.348 5.025 6.003
Ga 4.348 0.740 3.282

---

Results for theoretical density: 8868, 7479 (in kg/m³, following the order of the records).